{"formula": "EuMgGaSn", "functional": "GGA-PBE", "state": "optimized geometry", "magmom_total_mub_per_fu": 6.98, "delta_e_f_kcal_per_mol_atoms": -8.35, "cell": [[-3.464, 1.965, -3.343], [-5.024, 0.262, 1.316], [-2.202, 4.614, 0.950]], "species": ["Ga", "Sn", "Eu", "Mg"], "frac_coords": [[0.750, 0.750, 0.750], [0.250, 0.250, 0.250], [0.000, 0.000, 0.000], [0.500, 0.500, 0.500]]}


{"formula": "TbEuMgGa", "functional": "GGA-PBE", "state": "optimized geometry", "magmom_total_mub_per_fu": 7.36, "delta_e_f_kcal_per_mol_atoms": -6.49, "cell": [[5.309, 0.000, 0.000], [2.655, 4.598, 0.000], [2.655, 1.533, 4.335]], "species": ["Mg", "Ga", "Eu", "Tb"], "frac_coords": [[0.250, 0.250, 0.250], [0.750, 0.750, 0.750], [0.000, 0.000, 0.000], [0.500, 0.500, 0.500]]}